Computed, not measured: a geometry-optimized Y2Ru structure at the GGA-PBE level of DFT.

Cell lengths 6.1695, 6.5061, 4.1546 Å; angles 90.00, 90.00, 90.00 degrees
Space group Pnnm (No. 58)
Symmetry-distinct sites (fractional):
Y 0.1463 0.2424 0.0000
Ru 0.0000 0.0000 0.5000

Properties
Calculated formation energy in eV per formula unit: -0.61



Computed, not measured: a geometry-optimized Mn2AgGeB structure at the GGA-PBE level of DFT.

Cell lengths 4.7121, 4.7121, 4.8029 Å; angles 90.00, 90.00, 90.00 degrees
Space group P4/mmm (No. 123)
Symmetry-distinct sites (fractional):
Mn 0.0000 0.5000 0.0000
Ag 0.0000 0.0000 0.5000
Ge 0.0000 0.0000 0.0000
B 0.5000 0.5000 0.5000

Properties
Calculated formation energy in eV per formula unit: 7.21



Computed, not measured: a geometry-optimized NaTmPu2S4 structure at the GGA-PBE level of DFT.

Cell lengths 6.8195, 3.9562, 6.8782 Å; angles 90.00, 109.38, 90.00 degrees
Space group P2/m (No. 10)
Symmetry-distinct sites (fractional):
Na 0.0000 0.0000 0.0000
Tm 0.0000 0.5000 0.5000
Pu 0.5000 0.0000 0.5000
Pu 0.5000 0.5000 0.0000
S 0.2437 0.0000 0.7420
S 0.2506 0.5000 0.2594



Computed, not measured: a geometry-optimized Tb3Ho12Zr structure at the GGA-PBE level of DFT.

Cell lengths 4.9634, 4.9634, 19.8036 Å; angles 90.00, 90.00, 90.00 degrees
Space group P4/mmm (No. 123)
Symmetry-distinct sites (fractional):
Tb 0.0000 0.0000 0.0000
Tb 0.0000 0.0000 0.2522
Ho 0.0000 0.5000 0.1269
Ho 0.0000 0.5000 0.3822
Ho 0.5000 0.5000 0.0000
Ho 0.5000 0.5000 0.2531
Ho 0.5000 0.5000 0.5000
Zr 0.0000 0.0000 0.5000

Properties
Calculated formation energy in eV per formula unit: 0.56



Computed, not measured: a geometry-optimized CoTeAs structure at the GGA-PBE level of DFT.

Cell lengths 3.7092, 3.7092, 5.1617 Å; angles 90.00, 90.00, 120.00 degrees
Space group P3m1 (No. 156)
Symmetry-distinct sites (fractional):
Co 0.0000 0.0000 0.0000
Te 0.6667 0.3333 0.2788
As 0.3333 0.6667 0.8205



Computed, not measured: a geometry-optimized Pu2PaAl structure at the GGA-PBE level of DFT.

Cell lengths 4.4937, 4.4937, 4.5642 Å; angles 90.00, 90.00, 90.00 degrees
Space group P4/mmm (No. 123)
Symmetry-distinct sites (fractional):
Pu 0.0000 0.5000 0.0000
Pa 0.0000 0.0000 0.5000
Al 0.5000 0.5000 0.5000

Properties
Calculated formation energy in eV per formula unit: -0.22



Computed, not measured: a geometry-optimized Y3NpRu8 structure at the GGA-PBE level of DFT.

Cell lengths 5.3277, 5.3277, 26.1794 Å; angles 90.00, 90.00, 120.00 degrees
Space group R3m (No. 160, hexagonal axes)
Symmetry-distinct sites (fractional):
Y 0.0000 0.0000 0.0000
Y 0.0000 0.0000 0.1247
Y 0.0000 0.0000 0.4997
Np 0.0000 0.0000 0.6249
Ru 0.0000 0.0000 0.3121
Ru 0.0000 0.0000 0.8124
Ru 0.0009 0.5005 0.5629
Ru 0.1675 0.3350 0.3950

Properties
Calculated formation energy in eV per formula unit: -2.44



Computed, not measured: a geometry-optimized K3Sn2Pb4 structure at the GGA-PBE level of DFT.

Cell lengths 15.0164, 12.1135, 7.7437 Å; angles 90.00, 102.73, 90.00 degrees
Space group C2/c (No. 15)
Symmetry-distinct sites (fractional):
K 0.0000 0.0176 0.2500
K 0.1131 0.3935 0.6627
Sn 0.2048 0.1326 0.9501
Pb 0.1173 0.2964 0.1848
Pb 0.1983 0.1230 0.5505

Properties
Calculated formation energy in eV per formula unit: -1.08



Computed, not measured: a geometry-optimized AcURu structure at the GGA-PBE level of DFT.

Cell lengths 6.0704, 5.0225, 11.2373 Å; angles 90.00, 94.14, 90.00 degrees
Space group C2/m (No. 12)
Symmetry-distinct sites (fractional):
Ac 0.2133 0.0000 0.3593
U 0.1338 0.0000 0.8951
Ru 0.0956 0.5000 0.8856

Properties
Calculated formation energy in eV per formula unit: 0.01



Computed, not measured: a geometry-optimized CeZn2H8Ir structure at the GGA-PBE level of DFT.

Cell lengths 4.4334, 4.6908, 5.3384 Å; angles 85.46, 89.16, 89.87 degrees
Space group P-1 (No. 2)
Symmetry-distinct sites (fractional):
Ce 0.0000 0.0000 0.0000
Zn 0.4902 0.4040 0.2298
H 0.0976 0.5123 0.8072
H 0.1855 0.1880 0.5022
H 0.2742 0.7268 0.3891
H 0.4958 0.9568 0.8060
Ir 0.0000 0.5000 0.5000



Computed, not measured: a geometry-optimized LaDyGeRh structure at the GGA-PBE level of DFT.

Cell lengths 4.6285, 4.6285, 10.0853 Å; angles 90.00, 90.00, 90.00 degrees
Space group P4/nmm (No. 129, origin choice 2)
Symmetry-distinct sites (fractional):
La 0.2500 0.2500 0.1750
Dy 0.2500 0.7500 0.5000
Ge 0.2500 0.2500 0.8857
Rh 0.2500 0.2500 0.6507

Properties
Calculated formation energy in eV per formula unit: -2.36



Computed, not measured: a geometry-optimized Na4MnTc2 structure at the GGA-PBE level of DFT.

Cell lengths 5.6253, 5.6253, 14.6074 Å; angles 90.00, 90.00, 90.00 degrees
Space group I4/mmm (No. 139)
Symmetry-distinct sites (fractional):
Na 0.0000 0.0000 0.2041
Na 0.0000 0.5000 0.0000
Mn 0.0000 0.0000 0.0000
Tc 0.0000 0.0000 0.4293

Properties
Calculated formation energy in eV per formula unit: 9.49



Results for E: -7.605, -5.055, -8.102, -4.801, -5.042, -10.531, -9.081, -3.023, -8.222, -3.859, -5.965, -3.670 (in eV/atom, following the order of the records).